BRh3Pb: relaxed, GGA-PBE.

POSCAR file:
```
BRh3Pb
1.0
3.795 0.000 0.000
0.000 3.795 0.000
0.000 0.000 6.667
B Rh Pb
1 3 1
Cartesian
0.000 0.000 0.000
0.000 1.898 5.767
1.898 0.000 5.767
1.898 1.898 1.012
1.898 1.898 3.661
```

Computed properties:
Formation enthalpy at 0 K = 1.557 eV/f.u.
E above lowest polymorph = 2.67 eV/f.u.
Space group = P4mm (99)